Record 1
# Ga3RhAu

A relaxed structure of Ga3RhAu (PBE, Alexandria).

Summary:
As for the total energy: -4.07 eV per atom. For the magnetic moment, the calculation gives 0.0000 μB per atom. Its energy of formation is -0.13 eV per atom. The value obtained for the energy above the most stable polymorph in this dataset is 1.12 eV/f.u.

a b c (Å): 4.7696 4.7696 4.7696
angles (deg): 90.00 90.00 90.00
Fractional positions:
Au  0.5000  0.5000  0.5000
Rh  0.0000  0.0000  0.0000
Ga  0.0000  0.5000  0.0000
Ga  0.0000  0.0000  0.5000
Ga  0.5000  0.0000  0.0000

=====

Record 2
# Ga5Rh4Au

A relaxed structure of Ga5Rh4Au (PBE, Alexandria).

Summary:
As for the total energy: -5.33 eV per atom. For the magnetic moment, the calculation gives 0.0000 μB per atom. Its energy of formation is -0.55 eV per atom.

a b c (Å): 3.0240 3.0240 16.0944
angles (deg): 90.00 90.00 90.00
Fractional positions:
Au  0.0000  0.0000  0.0000
Ga  0.5000  0.5000  0.3084
Ga  0.5000  0.5000  0.8829
Ga  0.5000  0.5000  0.6916
Ga  0.5000  0.5000  0.5000
Ga  0.5000  0.5000  0.1171
Rh  0.0000  0.0000  0.5948
Rh  0.0000  0.0000  0.7870
Rh  0.0000  0.0000  0.2130
Rh  0.0000  0.0000  0.4052

=====

Record 3
# Ga3RhAu

A relaxed structure of Ga3RhAu (PBE, Alexandria).

Summary:
As for the total energy: -4.29 eV per atom. For the magnetic moment, the calculation gives 0.0000 μB per atom. Its energy of formation is -0.35 eV per atom. The value obtained for the energy above the most stable polymorph in this dataset is 0.00 eV/f.u.

a b c (Å): 6.7235 6.4749 8.9933
angles (deg): 90.00 62.20 90.00
Fractional positions:
Rh  0.4773  0.2462  0.3264
Rh  0.0227  0.7462  0.1736
Rh  0.5227  0.7538  0.6736
Rh  0.9773  0.2538  0.8264
Au  0.5368  0.7177  0.0103
Au  0.9632  0.2177  0.4897
Au  0.4632  0.2823  0.9897
Au  0.0368  0.7823  0.5103
Ga  0.7253  0.4918  0.4150
Ga  0.2825  0.0195  0.6017
Ga  0.7272  0.0007  0.7744
Ga  0.2747  0.5082  0.5850
Ga  0.2253  0.0082  0.9150
Ga  0.7728  0.5007  0.7256
Ga  0.7747  0.9918  0.0850
Ga  0.2728  0.9993  0.2256
Ga  0.2272  0.4993  0.2744
Ga  0.7825  0.4805  0.1017
Ga  0.2175  0.5195  0.8983
Ga  0.7175  0.9805  0.3983

=====

Record 4
# Ga2Rh2Au

A relaxed structure of Ga2Rh2Au (PBE, Alexandria).

Summary:
As for the total energy: -4.97 eV per atom. For the magnetic moment, the calculation gives 0.0000 μB per atom. Its energy of formation is -0.16 eV per atom. The value obtained for the energy above the most stable polymorph in this dataset is 1.48 eV/f.u.

a b c (Å): 3.7001 3.7001 6.5699
angles (deg): 73.64 73.64 90.00
Fractional positions:
Rh  0.6077  0.6077  0.7847
Rh  0.3923  0.3923  0.2153
Ga  0.2500  0.7500  0.5000
Ga  0.7500  0.2500  0.5000
Au  0.0000  0.0000  0.0000

=====

Record 5
# Ga8RhAu2

A relaxed structure of Ga8RhAu2 (PBE, Alexandria).

Summary:
As for the total energy: -3.69 eV per atom. For the magnetic moment, the calculation gives 0.0000 μB per atom. Its energy of formation is -0.22 eV per atom.

a b c (Å): 4.0185 5.4952 9.6429
angles (deg): 105.14 102.03 90.00
Fractional positions:
Ga  0.2208  0.2532  0.4416
Ga  0.4012  0.5893  0.8025
Ga  0.5988  0.4107  0.1975
Ga  0.6350  0.9567  0.2700
Ga  0.7792  0.7468  0.5584
Ga  0.0214  0.7446  0.0427
Ga  0.9786  0.2554  0.9573
Ga  0.3650  0.0433  0.7300
Au  0.8253  0.3206  0.6505
Au  0.1747  0.6794  0.3495
Rh  0.5000  0.0000  0.0000

=====

Record 6
# Ga2Rh3Au

A relaxed structure of Ga2Rh3Au (PBE, Alexandria).

Summary:
As for the total energy: -5.68 eV per atom. For the magnetic moment, the calculation gives 0.0000 μB per atom. Its energy of formation is -0.45 eV per atom.

a b c (Å): 3.0192 3.0192 9.7092
angles (deg): 90.00 90.00 90.00
Fractional positions:
Ga  0.5000  0.5000  0.1613
Ga  0.5000  0.5000  0.8387
Rh  0.0000  0.0000  0.0000
Rh  0.0000  0.0000  0.6960
Rh  0.0000  0.0000  0.3040
Au  0.5000  0.5000  0.5000

=====

Record 7
# Ga4Rh5Au

A relaxed structure of Ga4Rh5Au (PBE, Alexandria).

Summary:
As for the total energy: -5.77 eV per atom. For the magnetic moment, the calculation gives 0.0000 μB per atom. Its energy of formation is -0.56 eV per atom.

a b c (Å): 3.0284 3.0284 15.7498
angles (deg): 90.00 90.00 90.00
Fractional positions:
Rh  0.5000  0.5000  0.8796
Rh  0.5000  0.5000  0.1204
Rh  0.5000  0.5000  0.6908
Rh  0.5000  0.5000  0.3092
Rh  0.5000  0.5000  0.5000
Ga  0.0000  0.0000  0.4025
Ga  0.0000  0.0000  0.7934
Ga  0.0000  0.0000  0.2066
Ga  0.0000  0.0000  0.5975
Au  0.0000  0.0000  0.0000

=====

Record 8
# Ga2RhAu2

A relaxed structure of Ga2RhAu2 (PBE, Alexandria).

Summary:
As for the total energy: -4.12 eV per atom. For the magnetic moment, the calculation gives 0.0000 μB per atom. Its energy of formation is -0.13 eV per atom. The value obtained for the energy above the most stable polymorph in this dataset is 0.00 eV/f.u.

a b c (Å): 6.8228 6.8228 3.6041
angles (deg): 90.00 90.00 90.00
Fractional positions:
Ga  0.6509  0.1509  0.0000
Ga  0.1509  0.3491  0.0000
Ga  0.8491  0.6509  0.0000
Ga  0.3491  0.8491  0.0000
Rh  0.0000  0.0000  0.0000
Rh  0.5000  0.5000  0.0000
Au  0.8480  0.3480  0.5000
Au  0.3480  0.1520  0.5000
Au  0.1520  0.6520  0.5000
Au  0.6520  0.8480  0.5000

=====

Record 9
# GaRuRhAu2

A relaxed structure of GaRuRhAu2 (PBE, Alexandria).

Summary:
As for the total energy: -4.10 eV per atom. For the magnetic moment, the calculation gives 0.5695 μB per atom. Its energy of formation is 1.14 eV per atom.

a b c (Å): 5.0335 4.5381 5.0335
angles (deg): 90.00 90.00 90.00
Fractional positions:
Au  0.5000  0.0000  0.0000
Au  0.0000  0.0000  0.5000
Rh  0.0000  0.0000  0.0000
Ru  0.5000  0.5000  0.5000
Ga  0.0000  0.5000  0.0000

=====

Record 10
# Sm2Ga4Rh3Au

A relaxed structure of Sm2Ga4Rh3Au (PBE, Alexandria).

Summary:
As for the total energy: -5.41 eV per atom. For the magnetic moment, the calculation gives 0.0000 μB per atom. Its energy of formation is -0.72 eV per atom.

a b c (Å): 4.1547 4.1547 10.9086
angles (deg): 90.00 90.00 90.00
Fractional positions:
Rh  0.0000  0.0000  0.5000
Rh  0.0000  0.5000  0.1335
Rh  0.5000  0.0000  0.8665
Ga  0.0000  0.0000  0.0000
Ga  0.5000  0.0000  0.6396
Ga  0.5000  0.5000  0.0000
Ga  0.0000  0.5000  0.3604
Sm  0.5000  0.0000  0.2399
Sm  0.0000  0.5000  0.7601
Au  0.5000  0.5000  0.5000

=====

Record 11
# Sm2Ga2Rh5Au

A relaxed structure of Sm2Ga2Rh5Au (PBE, Alexandria).

Summary:
As for the total energy: -6.18 eV per atom. For the magnetic moment, the calculation gives 0.0000 μB per atom. Its energy of formation is -0.63 eV per atom.

a b c (Å): 3.6613 9.8139 9.8139
angles (deg): 90.00 90.00 90.00
Fractional positions:
Rh  0.5000  0.2905  0.5668
Rh  0.5000  0.7905  0.9332
Rh  0.5000  0.0000  0.5000
Rh  0.5000  0.9332  0.2095
Rh  0.5000  0.5000  0.0000
Rh  0.5000  0.5668  0.7095
Rh  0.5000  0.0668  0.7905
Rh  0.5000  0.7095  0.4332
Rh  0.5000  0.2095  0.0668
Rh  0.5000  0.4332  0.2905
Ga  0.0000  0.1220  0.6220
Ga  0.0000  0.3780  0.1220
Ga  0.0000  0.6220  0.8780
Ga  0.0000  0.8780  0.3780
Sm  0.0000  0.8229  0.6771
Sm  0.0000  0.6771  0.1771
Sm  0.0000  0.3229  0.8229
Sm  0.0000  0.1771  0.3229
Au  0.0000  0.5000  0.5000
Au  0.0000  0.0000  0.0000

=====

Record 12
# Sm2Ga4RhAu3

A relaxed structure of Sm2Ga4RhAu3 (PBE, Alexandria).

Summary:
As for the total energy: -4.54 eV per atom. For the magnetic moment, the calculation gives 0.0000 μB per atom. Its energy of formation is -0.66 eV per atom.

a b c (Å): 4.2263 4.2263 11.1238
angles (deg): 90.00 90.00 90.00
Fractional positions:
Ga  0.0000  0.0000  0.0000
Ga  0.0000  0.5000  0.3709
Ga  0.5000  0.5000  0.0000
Ga  0.5000  0.0000  0.6291
Rh  0.5000  0.5000  0.5000
Au  0.5000  0.0000  0.8566
Au  0.0000  0.5000  0.1434
Au  0.0000  0.0000  0.5000
Sm  0.5000  0.0000  0.2563
Sm  0.0000  0.5000  0.7437